# 1
DFT (GGA-PBE) results for HoPd5Au2 after structural relaxation.

a b c (Å): 5.736 11.439 4.159
angles (deg): 90.00 90.00 90.00
Space group Pbam (No. 55)
Asymmetric unit:
1 Ho 0.000 0.000 0.000 x2
2 Pd 0.000 0.500 0.000 x2
3 Pd 0.022 0.250 0.000 x4
4 Pd 0.237 0.876 0.500 x4
5 Au 0.228 0.629 0.500 x4

Properties
- M_tot (μB/atom) = 0.000
- E_tot (eV/cell) = -82.04
- D(E_F) (states/eV/cell) = 6.905
- calculated density (g/cm3) = 13.277

# 2
DFT (GGA-PBE) results for Ca2ZrIrF after structural relaxation.

a b c (Å): 5.851 5.851 4.023
angles (deg): 90.00 90.00 90.00
Space group P4/mmm (No. 123)
Asymmetric unit:
1 Ca 0.000 0.500 0.000 x2
2 Zr 0.000 0.000 0.000 x1
3 Ir 0.500 0.500 0.500 x1
4 F 0.000 0.000 0.500 x1

Properties
- M_tot (μB/atom) = 0.000
- raw formation energy (eV per atom) = 0.206
- D(E_F) (states/eV/cell) = 6.116
- calculated density (g/cm3) = 4.614

# 3
DFT (GGA-PBE) results for Tb8Sm6Pb after structural relaxation.

a b c (Å): 9.3835 9.3835 6.5009
angles (deg): 90.00 90.00 120.00
Space group P-3 (No. 147)
Asymmetric unit:
1 Tb 0.0375 0.7720 0.1817 x6
2 Tb 0.3333 0.6667 0.1505 x2
3 Sm 0.0918 0.6428 0.6755 x6
4 Pb 0.0000 0.0000 0.5000 x1

Properties
- M_tot (μB/atom) = 0.000
- E_tot (eV/cell) = -68.07
- D(E_F) (states/eV/cell) = 18.819
- calculated density (g/cm3) = 7.975

# 4
DFT (GGA-PBE) results for Rb2NpNi2Se4 after structural relaxation.

a b c (Å): 14.849 4.049 8.161
angles (deg): 90.00 108.73 90.00
Space group C2/m (No. 12)
Asymmetric unit:
1 Rb 0.136 0.000 0.061 x4
2 Np 0.000 0.000 0.500 x2
3 Ni 0.184 0.500 0.488 x4
4 Se 0.024 0.500 0.275 x4
5 Se 0.199 0.000 0.659 x4

Properties
- M_tot (μB/atom) = 0.163
- raw formation energy (eV per atom) = -0.874
- D(E_F) (states/eV/cell) = 25.018
- calculated density (g/cm3) = 6.013

# 5
DFT (GGA-PBE) results for LiNdBiIr after structural relaxation.

a b c (Å): 6.920 6.920 6.920
angles (deg): 90.00 90.00 90.00
Space group F-43m (No. 216)
Asymmetric unit:
1 Li 0.000 0.000 0.000 x4
2 Nd 0.250 0.250 0.750 x4
3 Bi 0.250 0.250 0.250 x4
4 Ir 0.000 0.000 0.500 x4

Properties
- M_tot (μB/atom) = 0.000
- E_tot (eV/cell) = -86.03
- D(E_F) (states/eV/cell) = 4.135
- calculated density (g/cm3) = 11.073

# 6
DFT (GGA-PBE) results for La2ZnGa after structural relaxation.

a b c (Å): 5.328 5.328 3.761
angles (deg): 90.00 90.00 90.00
Space group P4/mmm (No. 123)
Asymmetric unit:
1 La 0.000 0.500 0.000 x2
2 Zn 0.000 0.000 0.500 x1
3 Ga 0.500 0.500 0.500 x1

Properties
- M_tot (μB/atom) = 0.000
- E_tot (eV/cell) = -15.94
- D(E_F) (states/eV/cell) = 4.485
- calculated density (g/cm3) = 6.424

# 7
DFT (GGA-PBE) results for Tb4Dy6Tl after structural relaxation.

a b c (Å): 23.502 3.632 8.700
angles (deg): 90.00 111.13 90.00
Space group Cm (No. 8)
Asymmetric unit:
1 Tb 0.000 0.000 0.000 x2
2 Tb 0.045 0.000 0.463 x2
3 Tb 0.216 0.000 0.026 x2
4 Tb 0.268 0.000 0.486 x2
5 Dy 0.082 0.500 0.827 x2
6 Dy 0.133 0.500 0.245 x2
7 Dy 0.183 0.500 0.661 x2
8 Dy 0.341 0.500 0.271 x2
9 Dy 0.341 0.500 0.865 x2
10 Dy 0.427 0.000 0.629 x2
11 Tl 0.438 0.000 0.203 x2

Properties
- M_tot (μB/atom) = 0.000
- E_tot (eV/cell) = -97.44
- D(E_F) (states/eV/cell) = 27.322
- calculated density (g/cm3) = 8.702

# 8
DFT (GGA-PBE) results for NaInAg2H after structural relaxation.

a b c (Å): 4.396 4.396 4.401
angles (deg): 90.00 90.00 90.00
Space group P4/mmm (No. 123)
Asymmetric unit:
1 Na 0.000 0.000 0.000 x1
2 In 0.500 0.500 0.000 x1
3 Ag 0.000 0.500 0.500 x2
4 H 0.000 0.000 0.500 x1

Properties
- M_tot (μB/atom) = 0.000
- E_tot (eV/cell) = -12.55
- D(E_F) (states/eV/cell) = 1.706
- calculated density (g/cm3) = 6.923

# 9
DFT (GGA-PBE) results for Nd3Y2TmS6 after structural relaxation.

a b c (Å): 6.836 11.878 6.982
angles (deg): 90.00 109.11 90.00
Space group C2/m (No. 12)
Asymmetric unit:
1 Nd 0.000 0.000 0.000 x2
2 Nd 0.000 0.331 0.000 x4
3 Y 0.000 0.167 0.500 x4
4 Tm 0.000 0.500 0.500 x2
5 S 0.242 0.336 0.732 x8
6 S 0.249 0.000 0.734 x4

Properties
- M_tot (μB/atom) = 0.000
- raw formation energy (eV per atom) = -2.009
- D(E_F) (states/eV/cell) = 10.572
- calculated density (g/cm3) = 6.026

# 10
DFT (GGA-PBE) results for NaLiP3 after structural relaxation.

a b c (Å): 4.890 4.890 4.890
angles (deg): 90.00 90.00 90.00
Space group Pm-3m (No. 221)
Asymmetric unit:
1 Na 0.000 0.000 0.000 x1
2 Li 0.500 0.500 0.500 x1
3 P 0.000 0.000 0.500 x3

Properties
- M_tot (μB/atom) = 0.000
- E_tot (eV/cell) = -13.94
- D(E_F) (states/eV/cell) = 3.751
- calculated density (g/cm3) = 1.744

# 11
DFT (GGA-PBE) results for TlCdAg2 after structural relaxation.

a b c (Å): 4.402 4.402 8.742
angles (deg): 90.00 90.00 90.00
Space group I-4m2 (No. 119)
Asymmetric unit:
1 Tl 0.000 0.000 0.000 x2
2 Cd 0.000 0.500 0.250 x2
3 Ag 0.000 0.000 0.500 x2
4 Ag 0.000 0.500 0.750 x2

Properties
- M_tot (μB/atom) = 0.000
- E_tot (eV/cell) = -17.25
- D(E_F) (states/eV/cell) = 2.932
- calculated density (g/cm3) = 10.439

# 12
DFT (GGA-PBE) results for PrSm4In4 after structural relaxation.

a b c (Å): 7.272 7.272 10.882
angles (deg): 90.00 90.00 90.00
Space group P4_2/nmc (No. 137, origin choice 2)
Asymmetric unit:
1 Pr 0.250 0.750 0.250 x2
2 Sm 0.023 0.250 0.169 x8
3 In 0.028 0.250 0.467 x8

Properties
- M_tot (μB/atom) = 0.000
- E_tot (eV/cell) = -72.35
- D(E_F) (states/eV/cell) = 14.868
- calculated density (g/cm3) = 6.935

Q: Which value of M_tot does entry 4 give?
A: 0.163 μB/atom

Q: The highest calculated density belongs to which entry?
A: HoPd5Au2